Record 1
# PBE Cr2BTe, relaxed
# E above lowest polymorph = 225 meV/atom
# Formation energy (no corrections) = 0.7939 eV per atom
# Total DFT energy (no corrections) = -6.4725 eV per atom
data_Cr2BTe
_symmetry_space_group_name_H-M 'F m -3 m'
_symmetry_Int_Tables_number 225
_symmetry_space_group_name_Hall '-F 4 2 3'
_cell_length_a 5.9233
_cell_length_b 5.9233
_cell_length_c 5.9233
_cell_angle_alpha 90.00
_cell_angle_beta 90.00
_cell_angle_gamma 90.00
loop_
_atom_site_label
_atom_site_fract_x
_atom_site_fract_y
_atom_site_fract_z
Cr1 0.2500 0.2500 0.2500
B1 0.0000 0.0000 0.0000
Te1 0.0000 0.0000 0.5000

Record 2
# PBE Cr3BTe, relaxed
# E above lowest polymorph = 0 meV/atom
# Formation energy (no corrections) = 0.3254 eV per atom
# Total DFT energy (no corrections) = -7.4125 eV per atom
data_Cr3BTe
_symmetry_space_group_name_H-M 'P m -3 m'
_symmetry_Int_Tables_number 221
_symmetry_space_group_name_Hall '-P 4 2 3'
_cell_length_a 4.0330
_cell_length_b 4.0330
_cell_length_c 4.0330
_cell_angle_alpha 90.00
_cell_angle_beta 90.00
_cell_angle_gamma 90.00
loop_
_atom_site_label
_atom_site_fract_x
_atom_site_fract_y
_atom_site_fract_z
Cr1 0.0000 0.0000 0.5000
B1 0.0000 0.0000 0.0000
Te1 0.5000 0.5000 0.5000

Record 3
# PBE CrBTe3, relaxed
# E above lowest polymorph = 49 meV/atom
# Formation energy (no corrections) = 1.2358 eV per atom
# Total DFT energy (no corrections) = -3.9094 eV per atom
data_CrBTe3
_symmetry_space_group_name_H-M 'P m -3 m'
_symmetry_Int_Tables_number 221
_symmetry_space_group_name_Hall '-P 4 2 3'
_cell_length_a 4.7846
_cell_length_b 4.7846
_cell_length_c 4.7846
_cell_angle_alpha 90.00
_cell_angle_beta 90.00
_cell_angle_gamma 90.00
loop_
_atom_site_label
_atom_site_fract_x
_atom_site_fract_y
_atom_site_fract_z
Cr1 0.0000 0.0000 0.0000
B1 0.5000 0.5000 0.5000
Te1 0.0000 0.5000 0.5000

Record 4
# PBE Cr2BTe, relaxed
# E above lowest polymorph = 0 meV/atom
# Formation energy (no corrections) = 0.5685 eV per atom
# Total DFT energy (no corrections) = -6.6979 eV per atom
data_Cr2BTe
_symmetry_space_group_name_H-M 'I -4 2 d'
_symmetry_Int_Tables_number 122
_symmetry_space_group_name_Hall 'I -4 2bw'
_cell_length_a 5.2983
_cell_length_b 5.2983
_cell_length_c 10.5527
_cell_angle_alpha 90.00
_cell_angle_beta 90.00
_cell_angle_gamma 90.00
loop_
_atom_site_label
_atom_site_fract_x
_atom_site_fract_y
_atom_site_fract_z
Cr1 0.1492 0.2500 0.1250
B1 0.0000 0.0000 0.0000
Te1 0.0000 0.0000 0.5000